The following is a PBE calculation of crystalline RbSiTeN2 at its relaxed geometry, from Alexandria.

Summary:
- Offset from the most stable computed form: 1.259 eV/atom
- DOS(E_F): 3.0 states/eV/cell
- Total magnetization: 1.0011 μB/atom
- Formation energy (no corrections): 2372 meV per atom

a b c (Å): 4.972 4.972 7.229
angles (deg): 90.00 90.00 90.00
Each line ends with the local moment (μB).
Fractional positions:
1 Rb 0.000 0.000 0.000  0.14
2 Te 0.000 0.000 0.500  0.13
3 N 0.500 0.000 0.000  1.67
4 N 0.000 0.500 0.000  1.67
5 Si 0.500 0.500 0.500  -0.12

***

The following is a PBE calculation of crystalline RbTl2SiN at its relaxed geometry, from Alexandria.

Summary:
- DOS(E_F): 3.2 states/eV/cell
- Total magnetization: 0.2917 μB/atom
- Formation energy (no corrections): 904 meV per atom

a b c (Å): 4.936 5.642 4.936
angles (deg): 90.00 90.00 90.00
Each line ends with the local moment (μB).
Fractional positions:
1 Rb 0.000 0.500 0.000  0.03
2 N 0.000 0.000 0.000  0.12
3 Tl 0.000 0.000 0.500  0.01
4 Si 0.500 0.500 0.500  0.34
5 Tl 0.500 0.000 0.000  0.00

***

The following is a PBE calculation of crystalline Rb2USiN4 at its relaxed geometry, from Alexandria.

Summary:
- Total magnetization: 0.0000 μB/atom
- Formation energy (no corrections): -585 meV per atom

a b c (Å): 6.204 6.927 7.132
angles (deg): 90.00 90.00 90.00
Fractional positions:
1 Rb 0.500 0.281 0.236
2 N 0.731 0.025 0.500
3 Rb 0.000 0.719 0.736
4 Si 0.000 0.124 0.000
5 U 0.500 0.802 0.000
6 N 0.500 0.741 0.714
7 Rb 0.500 0.281 0.764
8 N 0.269 0.025 0.500
9 N 0.769 0.975 0.000
10 N 0.231 0.975 0.000
11 N 0.500 0.741 0.286
12 N 0.000 0.259 0.786
13 Rb 0.000 0.719 0.264
14 N 0.000 0.259 0.214
15 Si 0.500 0.876 0.500
16 U 0.000 0.198 0.500

***

The following is a PBE calculation of crystalline Rb2VSiN at its relaxed geometry, from Alexandria.

Summary:
- DOS(E_F): 24.5 states/eV/cell
- Total magnetization: 0.0038 μB/atom
- Formation energy (no corrections): 1889 meV per atom

a b c (Å): 6.295 4.621 6.295
angles (deg): 90.00 90.00 90.00
Each line ends with the local moment (μB).
Fractional positions:
1 Rb 0.500 0.000 0.000  0.01
2 V 0.000 0.000 0.000  -0.14
3 N 0.500 0.500 0.500  0.03
4 Rb 0.000 0.000 0.500  -0.01
5 Si 0.000 0.500 0.000  0.03